Record 1
LiTaZn2 | Alexandria | PBE-GGA | relaxed; polymorph energy (0 for the lowest one) = 240 meV/atom; formation energy from the elements = 172 meV per atom; crystal system = orthorhombic
1.0
-1.918 0.897 -1.696
1.411 -2.472 -2.903
-3.498 -4.097 1.788
Li Ta Zn
1 1 2
Cartesian
-1.655 -1.938 0.846 Li
-2.922 -3.913 -0.936 Ta
-3.487 -4.084 1.782 Zn
-1.189 -1.883 -1.821 Zn



Record 2
Sr2LiSi4Pt3 | Alexandria | PBE-GGA | relaxed; uncorrected formation energy = -0.799 eV/atom; crystal system = tetragonal
1.0
-3.871 1.181 1.500
-1.606 -0.180 -4.002
-2.394 -9.618 1.394
Sr Li Si Pt
2 1 4 3
Cartesian
-2.533 -1.812 1.098 Sr
-2.599 -7.306 -0.955 Sr
-3.935 -4.309 -0.554 Li
-2.738 0.500 -1.251 Si
0.000 0.000 0.000 Si
-3.446 -5.480 1.630 Si
-1.686 -3.638 -1.487 Si
-1.197 -4.809 0.697 Pt
-4.039 -7.863 1.976 Pt
-1.093 -1.255 -1.832 Pt



Record 3
Nd6DyTm8 | Alexandria | PBE-GGA | relaxed; formation energy from the elements = 124 meV per atom; crystal system = trigonal
1.0
-0.393 -7.841 -3.727
6.700 -2.392 -4.991
5.286 -6.165 3.094
Nd Dy Tm
6 1 8
Cartesian
6.837 -12.914 -3.254 Nd
3.443 -5.331 0.310 Nd
1.843 -5.390 -2.813 Nd
9.749 -11.007 -2.811 Nd
8.150 -11.067 -5.934 Nd
4.756 -3.483 -2.369 Nd
0.000 0.000 0.000 Dy
8.715 -7.212 -1.668 Tm
7.356 -5.839 -4.485 Tm
6.258 -8.303 0.440 Tm
6.684 -9.455 -3.242 Tm
4.909 -6.943 -2.381 Tm
5.334 -8.094 -6.064 Tm
4.237 -10.559 -1.139 Tm
2.878 -9.186 -3.956 Tm